1.
The following is a DFT calculation (PBE) of an optimized crystal structure of DyPa2Ni.

Summary:
* D(E_F): 7.85 states/eV per cell
* calculated density: 11.8 g cm⁻³
* energy: -29.07 eV for the cell shown

a = 3.4281 Å, b = 3.4281 Å, c = 9.6299 Å
α = 79.75°, β = 79.75°, γ = 60.00°
Last column: nearest neighbours and their distance in Å.
Sites, in units of the cell vectors:
Pa: 0.7333 0.7333 0.8000  3 Ni 2.73
Pa: 0.2667 0.2667 0.2000  3 Ni 2.73
Dy: 0.5000 0.5000 0.5000  6 Dy 3.43, 6 Pa 3.45
Ni: 0.0000 0.0000 0.0000  6 Pa 2.73


2.
The following is a DFT calculation (PBE) of an optimized crystal structure of DyPaNi10.

Summary:
* D(E_F): 14.20 states/eV per cell
* calculated density: 10.0 g cm⁻³
* energy: -76.29 eV for the cell shown

a = 3.9884 Å, b = 4.8620 Å, c = 8.3727 Å
α = 90.00°, β = 90.00°, γ = 90.00°
Last column: nearest neighbours and their distance in Å.
Sites, in units of the cell vectors:
Ni: 0.5000 0.5000 0.0000  8 Ni 2.43-2.47
Ni: 0.5000 0.0000 0.5000  8 Ni 2.41
Ni: 0.5000 0.7480 0.2526  8 Ni 2.41-2.45
Ni: 0.5000 0.7480 0.7474  8 Ni 2.41-2.45
Ni: 0.5000 0.2520 0.2526  8 Ni 2.41-2.45
Ni: 0.0000 0.5000 0.8260  6 Ni 2.42-2.47
Ni: 0.0000 0.0000 0.6621  6 Ni 2.41-2.45
Ni: 0.5000 0.2520 0.7474  8 Ni 2.41-2.45
Ni: 0.0000 0.5000 0.1740  6 Ni 2.42-2.47
Ni: 0.0000 0.0000 0.3379  6 Ni 2.41-2.45
Pa: 0.0000 0.5000 0.5000  6 Ni 2.73-2.78
Dy: 0.0000 0.0000 0.0000  18 Ni 2.83-3.15


3.
The following is a DFT calculation (PBE) of an optimized crystal structure of Dy2PaNi.

Summary:
* D(E_F): 4.72 states/eV per cell
* calculated density: 10.3 g cm⁻³
* energy: -23.59 eV for the cell shown

a = 3.3177 Å, b = 3.3177 Å, c = 10.5660 Å
α = 80.97°, β = 80.97°, γ = 60.00°
Last column: nearest neighbours and their distance in Å.
Sites, in units of the cell vectors:
Pa: 0.0000 0.0000 0.0000  2 Dy 3.27, 6 Pa 3.32
Dy: 0.1048 0.1048 0.6855  3 Ni 2.72
Dy: 0.8952 0.8952 0.3145  3 Ni 2.72
Ni: 0.5000 0.5000 0.5000  6 Dy 2.72


4.
The following is a DFT calculation (PBE) of an optimized crystal structure of DyPaNi3.

Summary:
* D(E_F): 10.13 states/eV per cell
* calculated density: 10.5 g cm⁻³
* energy: -66.91 eV for the cell shown

a = 3.5986 Å, b = 4.0565 Å, c = 12.4434 Å
α = 90.00°, β = 98.31°, γ = 90.00°
Last column: nearest neighbours and their distance in Å.
Sites, in units of the cell vectors:
Ni: 0.4755 0.2500 0.9510  3 Ni 2.36
Ni: 0.3160 0.7500 0.6321  2 Ni 2.56, 4 Pa 2.74
Ni: 0.6840 0.2500 0.3679  2 Ni 2.56, 4 Pa 2.74
Ni: 0.3795 0.2500 0.7590  3 Ni 2.36-2.56
Ni: 0.5245 0.7500 0.0490  3 Ni 2.36
Ni: 0.6205 0.7500 0.2410  3 Ni 2.36-2.56
Pa: 0.8005 0.2500 0.6010  7 Ni 2.65-2.87
Pa: 0.1995 0.7500 0.3990  7 Ni 2.65-2.87
Dy: 0.9304 0.7500 0.8609  10 Ni 2.93-2.99
Dy: 0.0696 0.2500 0.1391  10 Ni 2.93-2.99


5.
The following is a DFT calculation (PBE) of an optimized crystal structure of DyPaReNi.

Summary:
* D(E_F): 4.01 states/eV per cell
* calculated density: 13.3 g cm⁻³
* energy: -32.68 eV for the cell shown

a = 4.8279 Å, b = 4.8279 Å, c = 4.8279 Å
α = 60.00°, β = 60.00°, γ = 60.00°
Last column: nearest neighbours and their distance in Å.
Sites, in units of the cell vectors:
Re: 0.5000 0.5000 0.5000  4 Dy 2.96, 4 Pa 2.96
Pa: 0.7500 0.7500 0.7500  4 Re 2.96, 4 Ni 2.96
Dy: 0.2500 0.2500 0.2500  4 Re 2.96, 4 Ni 2.96
Ni: 0.0000 0.0000 0.0000  4 Pa 2.96, 4 Dy 2.96


6.
The following is a DFT calculation (PBE) of an optimized crystal structure of DyPaNiRh.

Summary:
* D(E_F): 4.72 states/eV per cell
* calculated density: 11.3 g cm⁻³
* energy: -29.58 eV for the cell shown

a = 3.5825 Å, b = 4.4762 Å, c = 5.3738 Å
α = 90.00°, β = 109.47°, γ = 90.00°
Last column: nearest neighbours and their distance in Å.
Sites, in units of the cell vectors:
Rh: 0.5851 0.5000 0.1703  3 Pa 2.83-2.87, 2 Ni 2.85, 4 Dy 2.92
Ni: 0.4105 0.0000 0.8209  3 Dy 2.74-2.94, 2 Rh 2.85, 4 Pa 2.90
Pa: 0.8645 0.5000 0.7289  3 Rh 2.83-2.87, 4 Ni 2.90
Dy: 0.1399 0.0000 0.2799  3 Ni 2.74-2.94, 4 Rh 2.92


7.
The following is a DFT calculation (PBE) of an optimized crystal structure of DyPaNiRh.

Summary:
* D(E_F): 4.83 states/eV per cell
* calculated density: 11.6 g cm⁻³
* energy: -29.03 eV for the cell shown

a = 4.8271 Å, b = 4.8271 Å, c = 4.8271 Å
α = 60.00°, β = 60.00°, γ = 60.00°
Last column: nearest neighbours and their distance in Å.
Sites, in units of the cell vectors:
Dy: 0.5000 0.5000 0.5000  4 Ni 2.96, 4 Rh 2.96
Ni: 0.2500 0.2500 0.2500  4 Pa 2.96, 4 Dy 2.96
Rh: 0.7500 0.7500 0.7500  4 Dy 2.96, 4 Pa 2.96
Pa: 0.0000 0.0000 0.0000  4 Rh 2.96, 4 Ni 2.96


8.
The following is a DFT calculation (PBE) of an optimized crystal structure of Dy2PaNiS5.

Summary:
* formation energy (no corrections): -1.63 eV per atom
* D(E_F): 7.60 states/eV per cell
* calculated density: 7.1 g cm⁻³

a = 3.7311 Å, b = 8.4537 Å, c = 11.7228 Å
α = 90.00°, β = 90.00°, γ = 102.75°
Last column: nearest neighbours and their distance in Å.
Sites, in units of the cell vectors:
Pa: 0.1759 0.3518 0.0249  6 S 2.64-2.76
Pa: 0.8241 0.6482 0.5249  6 S 2.64-2.76
S: 0.0157 0.0315 0.0151  2 Ni 2.27
S: 0.6942 0.3884 0.1966  2 Pa 2.76, 2 Dy 3.01
S: 0.3428 0.6857 0.0195  1 Pa 2.75, 4 Dy 2.86
S: 0.3182 0.6364 0.3547  1 Ni 2.22
S: 0.4963 0.9925 0.7480  1 Ni 2.24
S: 0.6818 0.3636 0.8547  1 Ni 2.22
S: 0.6572 0.3143 0.5195  1 Pa 2.75, 4 Dy 2.86
S: 0.9843 0.9685 0.5151  2 Ni 2.27
S: 0.3058 0.6116 0.6966  2 Pa 2.76, 2 Dy 3.01
S: 0.5037 0.0075 0.2480  1 Ni 2.24
Dy: 0.8853 0.7706 0.1941  7 S 2.77-3.01
Dy: 0.1029 0.2058 0.3513  7 S 2.74-3.01
Dy: 0.8971 0.7942 0.8513  7 S 2.74-3.01
Dy: 0.1147 0.2294 0.6941  7 S 2.77-3.01
Ni: 0.5552 0.1103 0.9198  4 S 2.22-2.27
Ni: 0.4448 0.8897 0.4198  4 S 2.22-2.27


9.
The following is a DFT calculation (PBE) of an optimized crystal structure of Dy5Ni2Pb.

Summary:
* D(E_F): 17.89 states/eV per cell
* calculated density: 9.5 g cm⁻³
* energy: -82.78 eV for the cell shown

a = 7.7112 Å, b = 7.7112 Å, c = 8.6444 Å
α = 116.49°, β = 116.49°, γ = 90.00°
Last column: nearest neighbours and their distance in Å.
Sites, in units of the cell vectors:
Ni: 0.6290 0.1290 0.0000  1 Ni 2.81, 8 Dy 2.86-3.03
Ni: 0.3710 0.8710 0.0000  1 Ni 2.81, 8 Dy 2.86-3.03
Ni: 0.1290 0.3710 0.0000  1 Ni 2.81, 8 Dy 2.86-3.03
Ni: 0.8710 0.6290 0.0000  1 Ni 2.81, 8 Dy 2.86-3.03
Dy: 0.5236 0.7077 0.7313  3 Ni 2.86-2.94
Dy: 0.7077 0.2077 0.7313  3 Ni 2.86-2.94
Dy: 0.0000 0.0000 0.0000  4 Ni 3.03, 2 Pb 3.35
Dy: 0.5000 0.5000 0.0000  4 Ni 3.03, 2 Pb 3.35
Dy: 0.7923 0.9764 0.2687  3 Ni 2.86-2.94
Dy: 0.9764 0.4764 0.2687  3 Ni 2.86-2.94
Dy: 0.2077 0.0236 0.7313  3 Ni 2.86-2.94
Dy: 0.2923 0.7923 0.2687  3 Ni 2.86-2.94
Dy: 0.4764 0.2923 0.2687  3 Ni 2.86-2.94
Dy: 0.0236 0.5236 0.7313  3 Ni 2.86-2.94
Pb: 0.7500 0.7500 0.5000  10 Dy 3.29-3.35
Pb: 0.2500 0.2500 0.5000  10 Dy 3.29-3.35


10.
The following is a DFT calculation (PBE) of an optimized crystal structure of Dy4NiPb.

Summary:
* D(E_F): 10.49 states/eV per cell
* calculated density: 9.4 g cm⁻³
* energy: -59.92 eV for the cell shown

a = 5.6611 Å, b = 6.8739 Å, c = 9.1547 Å
α = 90.00°, β = 114.67°, γ = 90.00°
Last column: nearest neighbours and their distance in Å.
Sites, in units of the cell vectors:
Dy: 0.0601 0.9945 0.7175  2 Ni 2.68-2.83
Dy: 0.4338 0.7500 0.5593  1 Ni 2.62
Dy: 0.3526 0.7500 0.1407  1 Ni 2.89
Dy: 0.9399 0.4945 0.2825  2 Ni 2.68-2.83
Dy: 0.9399 0.0055 0.2825  2 Ni 2.68-2.83
Dy: 0.5662 0.2500 0.4407  1 Ni 2.62
Dy: 0.6474 0.2500 0.8593  1 Ni 2.89
Dy: 0.0601 0.5055 0.7175  2 Ni 2.68-2.83
Ni: 0.7935 0.7500 0.4496  6 Dy 2.62-2.89
Ni: 0.2065 0.2500 0.5504  6 Dy 2.62-2.89
Pb: 0.2896 0.2500 0.0664  5 Dy 3.12-3.39
Pb: 0.7104 0.7500 0.9336  5 Dy 3.12-3.39


11.
The following is a DFT calculation (PBE) of an optimized crystal structure of Dy6Ni2Pb.

Summary:
* D(E_F): 16.80 states/eV per cell
* calculated density: 9.3 g cm⁻³
* energy: -92.06 eV for the cell shown

a = 8.4706 Å, b = 8.4706 Å, c = 8.4706 Å
α = 106.06°, β = 109.19°, γ = 113.24°
Last column: nearest neighbours and their distance in Å.
Sites, in units of the cell vectors:
Ni: 0.5000 0.6237 0.1237  1 Ni 2.52, 2 Dy 2.71
Ni: 0.5000 0.3763 0.8763  1 Ni 2.52, 2 Dy 2.71
Ni: 0.6453 0.0000 0.6453  6 Dy 2.76-2.89, 1 Ni 2.85
Ni: 0.3547 0.0000 0.3547  6 Dy 2.76-2.89, 1 Ni 2.85
Dy: 0.4768 0.2947 0.1821  3 Ni 2.91-3.23
Dy: 0.7923 0.7691 0.5614  1 Ni 2.76
Dy: 0.2077 0.2309 0.4386  1 Ni 2.76
Dy: 0.1126 0.2947 0.8179  3 Ni 2.91-3.23
Dy: 0.8874 0.7053 0.1821  3 Ni 2.91-3.23
Dy: 0.5232 0.7053 0.8179  3 Ni 2.91-3.23
Dy: 0.7923 0.2309 0.0232  1 Ni 2.76
Dy: 0.2077 0.7691 0.9768  1 Ni 2.76
Dy: 0.6901 0.0151 0.3250  3 Ni 2.71-2.89
Dy: 0.3099 0.6349 0.3250  3 Ni 2.71-2.89
Dy: 0.6901 0.3651 0.6750  3 Ni 2.71-2.89
Dy: 0.3099 0.9849 0.6750  3 Ni 2.71-2.89
Pb: 0.0000 0.0000 0.0000  8 Dy 3.11-3.28, 2 Ni 3.48
Pb: 0.0000 0.5000 0.5000  12 Dy 3.39-3.66